P) The following is a DFT calculation (PBE) of an optimized crystal structure of Cr2InC2.

* calculated volume: 128.8 Å³ per cell

abc: 3.746 3.746 9.177
angles: 90.00 90.00 90.00
Space group I4/mmm (No. 139)
Symmetry-distinct sites (fractional):
Cr (0.000, 0.500, 0.250)
In (0.000, 0.000, 0.000)
C (0.000, 0.000, 0.308)



Q) The following is a DFT calculation (PBE) of an optimized crystal structure of Cr2InC2.

* calculated volume: 106.0 Å³ per cell

abc: 6.159 6.159 2.794
angles: 90.00 90.00 90.00
Space group P4/mbm (No. 127)
Symmetry-distinct sites (fractional):
Cr (0.135, 0.365, 0.000)
In (0.000, 0.000, 0.500)
C (0.132, 0.632, 0.500)



Computed energies relative to the best structure, in kJ/mol of atoms: P) 0.0; Q) 44.4



P) The following is a DFT calculation (PBE) of an optimized crystal structure of LaCr3C.

* calculated volume: 87.9 Å³ per cell

abc: 4.446 4.446 4.446
angles: 90.00 90.00 90.00
Space group Pm-3m (No. 221)
Symmetry-distinct sites (fractional):
La (0.000, 0.000, 0.000)
Cr (0.000, 0.000, 0.500)
C (0.500, 0.500, 0.500)



Q) The following is a DFT calculation (PBE) of an optimized crystal structure of LaCr3C.

* calculated volume: 72.0 Å³ per cell

abc: 4.160 4.160 4.160
angles: 90.00 90.00 90.00
Space group Pm-3m (No. 221)
Symmetry-distinct sites (fractional):
La (0.000, 0.000, 0.000)
Cr (0.000, 0.500, 0.500)
C (0.500, 0.500, 0.500)



Computed energies relative to the best structure, in kJ/mol of atoms: P) 275.9; Q) 0.0



P) The following is a DFT calculation (PBE) of an optimized crystal structure of LiCr3C.

* calculated volume: 57.0 Å³ per cell

abc: 3.849 3.849 3.849
angles: 90.00 90.00 90.00
Space group Pm-3m (No. 221)
Symmetry-distinct sites (fractional):
Li (0.000, 0.000, 0.000)
Cr (0.000, 0.500, 0.500)
C (0.500, 0.500, 0.500)



Q) The following is a DFT calculation (PBE) of an optimized crystal structure of LiCr3C.

* calculated volume: 55.1 Å³ per cell

abc: 3.806 3.806 3.806
angles: 90.00 90.00 90.00
Space group Pm-3m (No. 221)
Symmetry-distinct sites (fractional):
Li (0.000, 0.000, 0.000)
Cr (0.000, 0.000, 0.500)
C (0.500, 0.500, 0.500)



Computed energies relative to the best structure, in kJ/mol of atoms: P) 0.0; Q) 192.5